Record 1
HfGa2Os | PBE | relaxed

```
data_HfGa2Os
_chemical_formula_sum 'Hf4 Ga8 Os4'
_cell_length_a 3.8365
_cell_length_b 3.8365
_cell_length_c 19.5151
_cell_angle_alpha 90.00
_cell_angle_beta 90.00
_cell_angle_gamma 90.00
_space_group_name_H-M_alt 'I -4 2 d'
_space_group_IT_number 122
_space_group_name_Hall 'I -4 2bw'
loop_
_atom_site_label
_atom_site_type_symbol
_atom_site_fract_x
_atom_site_fract_y
_atom_site_fract_z
Hf1 Hf 0.0000 0.0000 0.0000
Ga1 Ga 0.2421 0.2500 0.6250
Os1 Os 0.0000 0.0000 0.5000
```

Properties
For the energy above the most stable polymorph in this dataset, the calculation gives 82 kJ/mol of formula units. The density of states at the Fermi level is 2.1 states/eV/f.u. For the formation energy, the calculation gives 1 meV per atom.

Record 2
Hf2GaPOs | PBE | relaxed

```
data_Hf2GaPOs
_chemical_formula_sum 'Hf2 Ga1 P1 Os1'
_cell_length_a 5.1126
_cell_length_b 5.1126
_cell_length_c 4.3575
_cell_angle_alpha 90.00
_cell_angle_beta 90.00
_cell_angle_gamma 90.00
_space_group_name_H-M_alt 'P 4/m m m'
_space_group_IT_number 123
_space_group_name_Hall '-P 4 2'
loop_
_atom_site_label
_atom_site_type_symbol
_atom_site_fract_x
_atom_site_fract_y
_atom_site_fract_z
Hf1 Hf 0.0000 0.5000 0.0000
Ga1 Ga 0.0000 0.0000 0.5000
P1 P 0.5000 0.5000 0.5000
Os1 Os 0.5000 0.5000 0.0000
```

Properties
The density of states at the Fermi level is 5.1 states/eV/f.u. For the formation energy, the calculation gives 292 meV per atom.

Record 3
Hf2GaOsPb | PBE | relaxed

```
data_Hf2GaOsPb
_chemical_formula_sum 'Hf2 Ga1 Os1 Pb1'
_cell_length_a 5.2906
_cell_length_b 5.2906
_cell_length_c 4.9422
_cell_angle_alpha 90.00
_cell_angle_beta 90.00
_cell_angle_gamma 90.00
_space_group_name_H-M_alt 'P 4/m m m'
_space_group_IT_number 123
_space_group_name_Hall '-P 4 2'
loop_
_atom_site_label
_atom_site_type_symbol
_atom_site_fract_x
_atom_site_fract_y
_atom_site_fract_z
Hf1 Hf 0.0000 0.5000 0.0000
Ga1 Ga 0.0000 0.0000 0.5000
Os1 Os 0.5000 0.5000 0.5000
Pb1 Pb 0.5000 0.5000 0.0000
```

Properties
The density of states at the Fermi level is 4.0 states/eV/f.u. For the formation energy, the calculation gives 1767 meV per atom.

Record 4
Hf2GaOsRh | PBE | relaxed

```
data_Hf2GaOsRh
_chemical_formula_sum 'Hf2 Ga1 Os1 Rh1'
_cell_length_a 4.9563
_cell_length_b 4.9563
_cell_length_c 4.7823
_cell_angle_alpha 90.00
_cell_angle_beta 90.00
_cell_angle_gamma 90.00
_space_group_name_H-M_alt 'P 4/m m m'
_space_group_IT_number 123
_space_group_name_Hall '-P 4 2'
loop_
_atom_site_label
_atom_site_type_symbol
_atom_site_fract_x
_atom_site_fract_y
_atom_site_fract_z
Hf1 Hf 0.0000 0.5000 0.0000
Ga1 Ga 0.0000 0.0000 0.5000
Os1 Os 0.5000 0.5000 0.0000
Rh1 Rh 0.5000 0.5000 0.5000
```

Properties
The density of states at the Fermi level is 3.0 states/eV/f.u. For the formation energy, the calculation gives 578 meV per atom.

Record 5
HfGaOsRh | PBE | relaxed

```
data_HfGaOsRh
_chemical_formula_sum 'Hf1 Ga1 Os1 Rh1'
_cell_length_a 3.3025
_cell_length_b 4.3199
_cell_length_c 4.3736
_cell_angle_alpha 90.00
_cell_angle_beta 90.00
_cell_angle_gamma 90.00
_space_group_name_H-M_alt 'P m m m'
_space_group_IT_number 47
loop_
_space_group_symop_operation_xyz
'x,y,z'
'-x,-y,-z'
'-x,-y,z'
'x,y,-z'
'x,-y,-z'
'-x,y,z'
'-x,y,-z'
'x,-y,z'
loop_
_atom_site_label
_atom_site_type_symbol
_atom_site_fract_x
_atom_site_fract_y
_atom_site_fract_z
Hf1 Hf 0.0000 0.0000 0.0000
Ga1 Ga 0.0000 0.5000 0.5000
Os1 Os 0.5000 0.0000 0.5000
Rh1 Rh 0.5000 0.5000 0.0000
```

Properties
The density of states at the Fermi level is 0.4 states/eV/f.u. For the formation energy, the calculation gives -651 meV per atom.

Record 6
HfSc2GaOs | PBE | relaxed

```
data_HfSc2GaOs
_chemical_formula_sum 'Hf1 Sc2 Ga1 Os1'
_cell_length_a 4.9444
_cell_length_b 4.9444
_cell_length_c 4.8140
_cell_angle_alpha 90.00
_cell_angle_beta 90.00
_cell_angle_gamma 90.00
_space_group_name_H-M_alt 'P 4/m m m'
_space_group_IT_number 123
_space_group_name_Hall '-P 4 2'
loop_
_atom_site_label
_atom_site_type_symbol
_atom_site_fract_x
_atom_site_fract_y
_atom_site_fract_z
Hf1 Hf 0.0000 0.0000 0.0000
Sc1 Sc 0.0000 0.5000 0.5000
Ga1 Ga 0.5000 0.5000 0.0000
Os1 Os 0.5000 0.5000 0.5000
```

Properties
The density of states at the Fermi level is 4.4 states/eV/f.u. For the formation energy, the calculation gives 301 meV per atom.

Record 7
HfScGaOs2 | PBE | relaxed

```
data_HfScGaOs2
_chemical_formula_sum 'Hf1 Sc1 Ga1 Os2'
_cell_length_a 4.8183
_cell_length_b 4.8183
_cell_length_c 4.9323
_cell_angle_alpha 90.00
_cell_angle_beta 90.00
_cell_angle_gamma 90.00
_space_group_name_H-M_alt 'P 4/m m m'
_space_group_IT_number 123
_space_group_name_Hall '-P 4 2'
loop_
_atom_site_label
_atom_site_type_symbol
_atom_site_fract_x
_atom_site_fract_y
_atom_site_fract_z
Hf1 Hf 0.0000 0.0000 0.0000
Sc1 Sc 0.5000 0.5000 0.5000
Ga1 Ga 0.0000 0.0000 0.5000
Os1 Os 0.0000 0.5000 0.0000
```

Properties
The density of states at the Fermi level is 4.1 states/eV/f.u. For the formation energy, the calculation gives 1205 meV per atom.

Record 8
HfScGaOs | PBE | relaxed

```
data_HfScGaOs
_chemical_formula_sum 'Hf1 Sc1 Ga1 Os1'
_cell_length_a 3.2753
_cell_length_b 3.2753
_cell_length_c 6.6474
_cell_angle_alpha 90.00
_cell_angle_beta 90.00
_cell_angle_gamma 90.00
_space_group_name_H-M_alt 'P 4 m m'
_space_group_IT_number 99
loop_
_space_group_symop_operation_xyz
'x,y,z'
'-y,x,z'
'-x,-y,z'
'y,-x,z'
'-x,y,z'
'y,x,z'
'x,-y,z'
'-y,-x,z'
loop_
_atom_site_label
_atom_site_type_symbol
_atom_site_fract_x
_atom_site_fract_y
_atom_site_fract_z
Hf1 Hf 0.0000 0.0000 0.0000
Sc1 Sc 0.0000 0.0000 0.5226
Ga1 Ga 0.5000 0.5000 0.2642
Os1 Os 0.5000 0.5000 0.7671
```

Properties
The density of states at the Fermi level is 1.0 states/eV/f.u. For the formation energy, the calculation gives -581 meV per atom.

Record 9
HfTaGaOs2 | PBE | relaxed

```
data_HfTaGaOs2
_chemical_formula_sum 'Hf1 Ta1 Ga1 Os2'
_cell_length_a 4.7898
_cell_length_b 4.7898
_cell_length_c 4.9716
_cell_angle_alpha 90.00
_cell_angle_beta 90.00
_cell_angle_gamma 90.00
_space_group_name_H-M_alt 'P 4/m m m'
_space_group_IT_number 123
_space_group_name_Hall '-P 4 2'
loop_
_atom_site_label
_atom_site_type_symbol
_atom_site_fract_x
_atom_site_fract_y
_atom_site_fract_z
Hf1 Hf 0.0000 0.0000 0.0000
Ta1 Ta 0.0000 0.0000 0.5000
Ga1 Ga 0.5000 0.5000 0.5000
Os1 Os 0.0000 0.5000 0.0000
```

Properties
The density of states at the Fermi level is 6.2 states/eV/f.u. For the formation energy, the calculation gives 2101 meV per atom.

Record 10
HfTiGaOs2 | PBE | relaxed

```
data_HfTiGaOs2
_chemical_formula_sum 'Hf1 Ti1 Ga1 Os2'
_cell_length_a 4.5630
_cell_length_b 4.5630
_cell_length_c 4.4528
_cell_angle_alpha 90.00
_cell_angle_beta 90.00
_cell_angle_gamma 90.00
_space_group_name_H-M_alt 'P 4/m m m'
_space_group_IT_number 123
_space_group_name_Hall '-P 4 2'
loop_
_atom_site_label
_atom_site_type_symbol
_atom_site_fract_x
_atom_site_fract_y
_atom_site_fract_z
Hf1 Hf 0.0000 0.0000 0.0000
Ti1 Ti 0.5000 0.5000 0.0000
Ga1 Ga 0.5000 0.5000 0.5000
Os1 Os 0.0000 0.5000 0.5000
```

Properties
The density of states at the Fermi level is 5.9 states/eV/f.u. For the formation energy, the calculation gives 819 meV per atom.

Record 11
TmHfGaOs | PBE | relaxed

```
data_TmHfGaOs
_chemical_formula_sum 'Tm4 Hf4 Ga4 Os4'
_cell_length_a 6.7253
_cell_length_b 6.7253
_cell_length_c 6.7253
_cell_angle_alpha 90.00
_cell_angle_beta 90.00
_cell_angle_gamma 90.00
_space_group_name_H-M_alt 'F -4 3 m'
_space_group_IT_number 216
_space_group_name_Hall 'F -4 2 3'
loop_
_atom_site_label
_atom_site_type_symbol
_atom_site_fract_x
_atom_site_fract_y
_atom_site_fract_z
Tm1 Tm 0.0000 0.0000 0.0000
Hf1 Hf 0.0000 0.0000 0.5000
Ga1 Ga 0.2500 0.2500 0.2500
Os1 Os 0.2500 0.2500 0.7500
```

Properties
The density of states at the Fermi level is 1.5 states/eV/f.u. For the formation energy, the calculation gives -394 meV per atom.

Record 12
HfZnGaOs2 | PBE | relaxed

```
data_HfZnGaOs2
_chemical_formula_sum 'Hf1 Zn1 Ga1 Os2'
_cell_length_a 4.8369
_cell_length_b 4.8369
_cell_length_c 5.0646
_cell_angle_alpha 90.00
_cell_angle_beta 90.00
_cell_angle_gamma 90.00
_space_group_name_H-M_alt 'P 4/m m m'
_space_group_IT_number 123
_space_group_name_Hall '-P 4 2'
loop_
_atom_site_label
_atom_site_type_symbol
_atom_site_fract_x
_atom_site_fract_y
_atom_site_fract_z
Hf1 Hf 0.0000 0.0000 0.0000
Zn1 Zn 0.5000 0.5000 0.5000
Ga1 Ga 0.0000 0.0000 0.5000
Os1 Os 0.0000 0.5000 0.0000
```

Properties
The density of states at the Fermi level is 4.9 states/eV/f.u. For the formation energy, the calculation gives 1778 meV per atom.

| no. | mass density (g cm⁻³) | total DFT energy (no corrections) (eV for the cell shown) | total magnetic moment (Bohr magnetons per cell) |
| --- | --- | --- | --- |
| 1 | 11.75 | -108.94 | 0.0 |
| 2 | 9.45 | -38.11 | 0.0 |
| 3 | 9.89 | -29.04 | 0.0 |
| 4 | 10.17 | -38.62 | 0.0 |
| 5 | 14.41 | -34.17 | 0.0 |
| 6 | 7.45 | -35.37 | 1.0 |
| 7 | 9.77 | -35.75 | 0.0 |
| 8 | 11.26 | -32.87 | 0.0 |
| 9 | 11.79 | -36.79 | 1.0 |
| 10 | 12.12 | -39.24 | 0.0 |
| 11 | 13.26 | -121.03 | 0.0 |
| 12 | 9.73 | -27.82 | 0.0 |